(1)
Below is crystalline Ce8TlPt2 at its relaxed geometry, with properties calculated at the PBE level.

Output
- total magnetization (μB/cell) = 4.419
- calculated formation energy (meV/atom) = -369.1
- space-group type = C2/m, No. 12
- E_tot (eV/atom) = -6.00

Unit cell a=5.510 b=7.932 c=7.932 alpha=116.70 beta=97.90 gamma=97.90
Each line ends with the local moment (μB).
Fractional positions:
1 Ce 0.934 0.922 0.714  0.33
2 Ce 0.500 0.748 0.252  0.70
3 Ce 0.066 0.078 0.286  0.33
4 Ce 0.500 0.252 0.748  0.70
5 Ce 0.321 0.586 0.586  0.43
6 Ce 0.934 0.714 0.922  0.33
7 Ce 0.679 0.414 0.414  0.43
8 Ce 0.066 0.286 0.078  0.33
9 Tl 0.500 0.000 0.000  0.00
10 Pt 0.000 0.306 0.694  -0.01
11 Pt 0.000 0.694 0.306  -0.01

***

(2)
Below is crystalline Li2MoW at its relaxed geometry, with properties calculated at the PBE level.

Output
- total magnetization (μB/cell) = 0.000
- calculated formation energy (meV/atom) = 1075.6
- distance to the lowest polymorph of the same formula (meV per atom) = 839.8
- space-group type = I-42d, No. 122
- E_tot (eV/atom) = -5.83

Unit cell a=6.961 b=6.961 c=5.497 alpha=50.71 beta=50.71 gamma=90.00
Fractional positions:
1 W 0.750 0.250 0.500
2 W 0.000 0.000 0.000
3 Li 0.875 0.871 0.750
4 Li 0.375 0.379 0.750
5 Li 0.621 0.125 0.250
6 Li 0.129 0.625 0.250
7 Mo 0.250 0.750 0.500
8 Mo 0.500 0.500 0.000

***

(3)
Below is crystalline LiLa2NpRh6 at its relaxed geometry, with properties calculated at the PBE level.

Output
- total magnetization (μB/cell) = 0.136
- calculated formation energy (meV/atom) = -320.8
- space-group type = C2/m, No. 12
- E_tot (eV/atom) = -7.20

Unit cell a=6.118 b=7.043 c=6.101 alpha=64.48 beta=59.89 gamma=89.99
Each line ends with the local moment (μB).
Fractional positions:
1 Rh 0.245 0.209 0.510  0.02
2 Rh 0.754 0.793 0.964  0.02
3 Rh 0.719 0.208 0.036  0.02
4 Rh 0.755 0.791 0.490  0.02
5 Rh 0.246 0.207 0.036  0.02
6 Rh 0.281 0.792 0.964  0.02
7 La 0.236 0.710 0.528  0.00
8 La 0.764 0.290 0.472  0.00
9 Li 0.000 0.000 0.000  0.00
10 Np 0.500 0.500 0.000  -0.23

***

(4)
Below is crystalline Nd4TeAs2P at its relaxed geometry, with properties calculated at the PBE level.

Output
- total magnetization (μB/cell) = 0.000
- formation energy (no corrections) (kcal/mol of atoms) = -35.2
- space-group type = P2/m, No. 10
- E_tot (eV/atom) = -6.14

Unit cell a=4.294 b=7.442 c=7.481 alpha=70.73 beta=90.00 gamma=90.00
Fractional positions:
1 Te 0.500 0.500 0.000
2 Nd 0.000 0.763 0.732
3 Nd 0.000 0.237 0.268
4 Nd 0.500 0.248 0.738
5 Nd 0.500 0.752 0.262
6 As 0.500 0.000 0.500
7 As 0.000 0.000 0.000
8 P 0.000 0.500 0.500

***

- The highest E_tot belongs to which entry?
  Li2MoW

***

- total magnetization of number 2 (Li2MoW)?
  0.000 μB/cell

***

- Which formula does entry 2 have?
  Li2MoW